## BaCoH2Cl2O2 (GGA+U)

Data for a geometry-optimized BaCoH2Cl2O2 structure.

Structure (POSCAR):
```
BaCoH2Cl2O2
1.0
3.8538 0.0000 0.0000
-1.9269 3.3375 0.0000
0.0000 0.0000 10.2323
Ba Co H Cl O
1 1 2 2 2
direct
0.0000 0.0000 0.0000
0.3333 0.6667 0.5015
0.6667 0.3333 0.2082
0.6667 0.3333 0.6520
0.0000 0.0000 0.3609
0.3333 0.6667 0.7891
0.6667 0.3333 0.1126
0.6667 0.3333 0.5563
```

Volume ... 16.45 A^3/atom
VASP energy ... -38.16 eV/cell
M_tot ... 2.98 μB per formula unit